A plane-wave DFT calculation with GGA-PBE was carried out for a relaxed CuPdSe3 crystal.

a = 3.8845 Å, b = 5.0957 Å, c = 11.1656 Å
α = 103.84°, β = 90.00°, γ = 90.00°
Last column: nearest neighbours and their distance in Å.
Fractional coordinates of all 10 atoms:
Cu: 0.2500 0.6475 0.4109  4 Se 2.37-2.43
Cu: 0.7500 0.3525 0.5891  4 Se 2.37-2.43
Pd: 0.2500 0.9691 0.8449  6 Se 2.52-2.63
Pd: 0.7500 0.0309 0.1551  6 Se 2.52-2.63
Se: 0.2500 0.2672 0.0727  3 Pd 2.57-2.63, 1 Se 2.76
Se: 0.2500 0.7846 0.2227  1 Cu 2.37, 2 Pd 2.52
Se: 0.7500 0.7328 0.9273  3 Pd 2.57-2.63, 1 Se 2.76
Se: 0.2500 0.6463 0.6251  3 Cu 2.39-2.43, 1 Pd 2.61
Se: 0.7500 0.3537 0.3749  3 Cu 2.39-2.43, 1 Pd 2.61
Se: 0.7500 0.2154 0.7773  1 Cu 2.37, 2 Pd 2.52

Calculated values
D(E_F)   3.322 states/eV per cell
Energy above the most stable polymorph in this dataset   0.0 meV/atom
Formation energy without anion corrections   -78 kJ/mol of formula units
VASP energy   -4.110 eV/atom

=====

A plane-wave DFT calculation with GGA-PBE was carried out for a relaxed NiRhAu2 crystal.

a = 4.8128 Å, b = 4.8128 Å, c = 4.8696 Å
α = 79.36°, β = 79.36°, γ = 34.21°
Last column: nearest neighbours and their distance in Å.
Fractional coordinates of all 4 atoms:
Au: 0.9956 0.9956 0.0052  3 Ni 2.74-2.82, 3 Rh 2.78-2.81, 6 Au 2.79-2.85
Au: 0.5044 0.5044 0.4948  3 Ni 2.74-2.82, 3 Rh 2.78-2.81, 6 Au 2.79-2.85
Rh: 0.7500 0.7500 0.7500  6 Au 2.78-2.81, 4 Ni 2.82, 2 Rh 2.83
Ni: 0.2500 0.2500 0.2500  6 Au 2.74-2.82, 4 Rh 2.82, 2 Ni 2.83

Calculated values
D(E_F)   4.986 states/eV per cell
Energy above the most stable polymorph in this dataset   123.8 meV/atom
VASP energy   -4.713 eV/atom
E_form   80.7 kJ/mol of formula units

=====

A plane-wave DFT calculation with GGA-PBE was carried out for a relaxed SbAs2W crystal.

a = 5.1067 Å, b = 5.1067 Å, c = 5.1067 Å
α = 130.13°, β = 130.13°, γ = 73.20°
Last column: nearest neighbours and their distance in Å.
Fractional coordinates of all 4 atoms:
As: 0.2500 0.7500 0.5000  4 Sb 2.97, 4 As 2.97, 4 W 3.04
As: 0.0000 0.0000 0.0000  4 As 2.97, 4 W 2.97, 4 Sb 3.04
Sb: 0.5000 0.5000 0.0000  8 As 2.97-3.04, 4 W 2.97
W: 0.7500 0.2500 0.5000  8 As 2.97-3.04, 4 Sb 2.97

Calculated values
D(E_F)   4.061 states/eV per cell
Formation energy without anion corrections   294 kJ/mol of formula units
VASP energy   -5.832 eV/atom

=====

Q: Which formula does entry 3 have?
A: SbAs2W

=====

Q: Number 1 is which compound?
A: CuPdSe3